# 1
# ZrAlPb2W | Alexandria | PBE | optimized geometry
# **Energy of formation from the pure elements**: 1.29 eV/atom
# **Mass density**: 9.40 g cm⁻³
# **Fermi-level density of states**: 1.0807 states/eV per atom
data_ZrAlPb2W
_space_group_name_H-M_alt 'P 4/m m m'
_space_group_IT_number 123
_space_group_name_Hall '-P 4 2'
_cell_length_a 5.164
_cell_length_b 5.164
_cell_length_c 4.748
_cell_angle_alpha 90.00
_cell_angle_beta 90.00
_cell_angle_gamma 90.00
loop_
_atom_site_label
_atom_site_type_symbol
_atom_site_fract_x
_atom_site_fract_y
_atom_site_fract_z
_atom_site_occupancy
Zr1 Zr 0.000 0.000 0.000 1
Al1 Al 0.500 0.500 0.500 1
Pb1 Pb 0.000 0.500 0.500 1
W1 W 0.500 0.500 0.000 1

# 2
# PmHoGe2Rh2 | Alexandria | PBE | optimized geometry
# **Energy of formation from the pure elements**: -0.90 eV/atom
# **Mass density**: 9.18 g cm⁻³
# **Fermi-level density of states**: 0.6460 states/eV per atom
data_PmHoGe2Rh2
_space_group_name_H-M_alt 'P -3 m 1'
_space_group_IT_number 164
_space_group_name_Hall '-P 3 2"'
_cell_length_a 4.3939
_cell_length_b 4.3939
_cell_length_c 7.1521
_cell_angle_alpha 90.00
_cell_angle_beta 90.00
_cell_angle_gamma 120.00
loop_
_atom_site_label
_atom_site_type_symbol
_atom_site_fract_x
_atom_site_fract_y
_atom_site_fract_z
_atom_site_occupancy
Pm1 Pm 0.0000 0.0000 0.0000 1
Ho1 Ho 0.0000 0.0000 0.5000 1
Ge1 Ge 0.3333 0.6667 0.2682 1
Rh1 Rh 0.3333 0.6667 0.7192 1

> The highest mass density belongs to which entry?

ZrAlPb2W

> Among the records above, which one has the highest mass density?

ZrAlPb2W